PrSbP2O8: optimized geometry, PBE.

a = 5.2591 Å, b = 5.2591 Å, c = 7.3611 Å
α = 90.00°, β = 90.00°, γ = 120.00°
Fractional positions:
O 0.6565 0.8267 0.7254
O 0.3333 0.6667 0.0024
O 0.6667 0.3333 0.9976
P 0.6667 0.3333 0.2059
O 0.8298 0.6565 0.2746
O 0.8267 0.1702 0.2746
P 0.3333 0.6667 0.7941
O 0.1733 0.8298 0.7254
Sb 0.0000 0.0000 0.5000
Pr 0.0000 0.0000 0.0000
O 0.3435 0.1733 0.2746
O 0.1702 0.3435 0.7254

Properties
mass density = 4.26 g cm⁻³
space group = P-3
formation energy from raw total energies = -2305 meV per atom